# 1
The following is a DFT calculation (PBE) of an optimized crystal structure of BeSi2Os.

Properties
Fermi-level density of states in states/eV/cell: 2.57
M_tot in μB per formula unit: 0.00
Symmetry: No. 12
Formation energy without anion corrections in meV per atom: 102

abc: 4.2565 4.2565 2.9257
angles: 89.88 89.88 110.20
Positions (direct):
Be: 0.5000 0.0000 0.5000
Si: 0.0000 0.0000 0.0000
Si: 0.5000 0.5000 0.0000
Os: 0.0000 0.5000 0.5000

# 2
The following is a DFT calculation (PBE) of an optimized crystal structure of SrBe2SiOs.

Properties
Fermi-level density of states in states/eV/cell: 1.14
M_tot in μB per formula unit: 0.00
Symmetry: No. 123
Formation energy without anion corrections in meV per atom: -152

abc: 4.4919 4.4919 4.5425
angles: 90.00 90.00 90.00
Positions (direct):
Sr: 0.5000 0.5000 0.5000
Si: 0.0000 0.0000 0.5000
Os: 0.0000 0.0000 0.0000
Be: 0.0000 0.5000 0.0000
Be: 0.5000 0.0000 0.0000

# 3
The following is a DFT calculation (PBE) of an optimized crystal structure of TbBe2SiOs.

Properties
Fermi-level density of states in states/eV/cell: 3.52
M_tot in μB per formula unit: 0.00
Symmetry: No. 44
Formation energy without anion corrections in meV per atom: -334

abc: 3.8245 3.8319 5.7678
angles: 109.41 109.36 90.00
Positions (direct):
Tb: 0.4470 0.4470 0.8941
Be: 0.6904 0.1904 0.3808
Be: 0.0646 0.0647 0.1292
Si: 0.8240 0.8237 0.6479
Os: 0.1861 0.6863 0.3723

# 4
The following is a DFT calculation (PBE) of an optimized crystal structure of Tb2Be4Si3Os.

Properties
Fermi-level density of states in states/eV/cell: 3.52
M_tot in μB per formula unit: 0.00
Symmetry: No. 115
Formation energy without anion corrections in meV per atom: -423

abc: 3.8059 3.8059 9.9605
angles: 90.00 90.00 90.00
Positions (direct):
Tb: 0.5000 0.0000 0.2456
Tb: 0.0000 0.5000 0.7544
Be: 0.5000 0.5000 0.0000
Be: 0.0000 0.0000 0.0000
Be: 0.5000 0.0000 0.6353
Be: 0.0000 0.5000 0.3647
Si: 0.0000 0.0000 0.5000
Si: 0.5000 0.0000 0.8686
Si: 0.0000 0.5000 0.1314
Os: 0.5000 0.5000 0.5000

# 5
The following is a DFT calculation (PBE) of an optimized crystal structure of BeSi2TeOs.

Properties
Fermi-level density of states in states/eV/cell: 2.48
M_tot in μB per formula unit: 0.00
Symmetry: No. 123
Formation energy without anion corrections in meV per atom: 806

abc: 4.4565 6.0588 4.4565
angles: 90.00 90.00 90.00
Positions (direct):
Be: 0.5000 0.5000 0.5000
Si: 0.0000 0.0000 0.5000
Si: 0.5000 0.0000 0.0000
Te: 0.0000 0.5000 0.0000
Os: 0.0000 0.0000 0.0000

# 6
The following is a DFT calculation (PBE) of an optimized crystal structure of Th2Be4Si3Os.

Properties
Fermi-level density of states in states/eV/cell: 4.39
M_tot in μB per formula unit: 0.00
Symmetry: No. 115
Formation energy without anion corrections in meV per atom: -404

abc: 3.9472 3.9472 9.8789
angles: 90.00 90.00 90.00
Positions (direct):
Th: 0.5000 0.0000 0.2485
Th: 0.0000 0.5000 0.7515
Be: 0.5000 0.5000 0.0000
Be: 0.0000 0.0000 0.0000
Be: 0.5000 0.0000 0.6270
Be: 0.0000 0.5000 0.3730
Si: 0.0000 0.0000 0.5000
Si: 0.5000 0.0000 0.8729
Si: 0.0000 0.5000 0.1271
Os: 0.5000 0.5000 0.5000

# 7
The following is a DFT calculation (PBE) of an optimized crystal structure of ThBe2Si2Os.

Properties
Fermi-level density of states in states/eV/cell: 3.14
M_tot in μB per formula unit: 0.00
Symmetry: No. 164
Formation energy without anion corrections in meV per atom: -424

abc: 3.9309 3.9309 6.7263
angles: 90.00 90.00 120.00
Positions (direct):
Th: 0.0000 0.0000 0.0000
Be: 0.6667 0.3333 0.6650
Be: 0.3333 0.6667 0.3350
Si: 0.6667 0.3333 0.3025
Si: 0.3333 0.6667 0.6975
Os: 0.0000 0.0000 0.5000

# 8
The following is a DFT calculation (PBE) of an optimized crystal structure of TmBeSi2Os2.

Properties
Fermi-level density of states in states/eV/cell: 1.96
M_tot in μB per formula unit: 0.00
Symmetry: No. 123
Formation energy without anion corrections in meV per atom: -416

abc: 4.2281 4.2281 5.1464
angles: 90.00 90.00 90.00
Positions (direct):
Tm: 0.0000 0.0000 0.5000
Be: 0.0000 0.0000 0.0000
Si: 0.5000 0.5000 0.7311
Si: 0.5000 0.5000 0.2689
Os: 0.5000 0.0000 0.0000
Os: 0.0000 0.5000 0.0000

# 9
The following is a DFT calculation (PBE) of an optimized crystal structure of TmBeSi2Os.

Properties
Fermi-level density of states in states/eV/cell: 3.94
M_tot in μB per formula unit: 0.00
Symmetry: No. 119
Formation energy without anion corrections in meV per atom: -526

abc: 3.8644 3.8644 5.8410
angles: 109.32 109.32 90.00
Positions (direct):
Tm: 0.0000 0.0000 0.0000
Be: 0.2500 0.7500 0.5000
Si: 0.6165 0.6165 0.2329
Si: 0.3835 0.3835 0.7671
Os: 0.7500 0.2500 0.5000

# 10
The following is a DFT calculation (PBE) of an optimized crystal structure of U2BeSi4Os3.

Properties
Fermi-level density of states in states/eV/cell: 10.10
M_tot in μB per formula unit: 1.75
Symmetry: No. 115
Formation energy without anion corrections in meV per atom: -338

abc: 3.9790 3.9790 10.2120
angles: 90.00 90.00 90.00
Each line ends with the local moment (μB).
Positions (direct):
U: 0.5000 0.0000 0.2513  0.98
U: 0.0000 0.5000 0.7487  0.98
Be: 0.5000 0.5000 0.5000  -0.02
Si: 0.5000 0.5000 0.0000  -0.01
Si: 0.0000 0.0000 0.0000  -0.01
Si: 0.5000 0.0000 0.6281  0.00
Si: 0.0000 0.5000 0.3719  0.00
Os: 0.0000 0.0000 0.5000  -0.05
Os: 0.5000 0.0000 0.8605  -0.10
Os: 0.0000 0.5000 0.1395  -0.10

# 11
The following is a DFT calculation (PBE) of an optimized crystal structure of Y2Be4Si3Os.

Properties
Fermi-level density of states in states/eV/cell: 3.80
M_tot in μB per formula unit: 0.00
Symmetry: No. 115
Formation energy without anion corrections in meV per atom: -423

abc: 3.7965 3.7965 9.9735
angles: 90.00 90.00 90.00
Positions (direct):
Y: 0.5000 0.0000 0.2455
Y: 0.0000 0.5000 0.7545
Be: 0.5000 0.5000 0.0000
Be: 0.0000 0.0000 0.0000
Be: 0.5000 0.0000 0.6360
Be: 0.0000 0.5000 0.3640
Si: 0.0000 0.0000 0.5000
Si: 0.5000 0.0000 0.8683
Si: 0.0000 0.5000 0.1317
Os: 0.5000 0.5000 0.5000

# 12
The following is a DFT calculation (PBE) of an optimized crystal structure of YBe2SiOs.

Properties
Fermi-level density of states in states/eV/cell: 3.51
M_tot in μB per formula unit: 0.00
Symmetry: No. 44
Formation energy without anion corrections in meV per atom: -343

abc: 3.8214 3.8279 5.7556
angles: 109.42 109.39 90.00
Positions (direct):
Y: 0.4467 0.4467 0.8934
Be: 0.6900 0.1900 0.3800
Be: 0.0643 0.0643 0.1286
Si: 0.8245 0.8245 0.6491
Os: 0.1866 0.6866 0.3732

# 13
The following is a DFT calculation (PBE) of an optimized crystal structure of SmBe17Os.

Properties
Fermi-level density of states in states/eV/cell: 7.06
Energy of formation in eV per atom: -0.052
M_tot in μB per formula unit: 0.00
Symmetry: No. 160

abc: 5.6678 5.6678 5.6678
angles: 83.18 83.18 83.18
Positions (direct):
Sm: 0.6583 0.6583 0.6583
Be: 0.2871 0.0099 0.7034
Be: 0.7034 0.2871 0.0099
Be: 0.0099 0.7034 0.2871
Be: 0.2871 0.7034 0.0099
Be: 0.0099 0.2871 0.7034
Be: 0.7034 0.0099 0.2871
Be: 0.3390 0.8678 0.3390
Be: 0.3390 0.3390 0.8678
Be: 0.8678 0.3390 0.3390
Be: 0.6475 0.1670 0.6475
Be: 0.6475 0.6475 0.1670
Be: 0.1670 0.6475 0.6475
Be: 0.9977 0.5034 0.9977
Be: 0.9977 0.9977 0.5034
Be: 0.5034 0.9977 0.9977
Be: 0.9099 0.9099 0.9099
Be: 0.1014 0.1014 0.1014
Os: 0.3228 0.3228 0.3228

# 14
The following is a DFT calculation (PBE) of an optimized crystal structure of BeSn2Os.

Properties
Fermi-level density of states in states/eV/cell: 3.64
Energy of formation in eV per atom: 0.893
M_tot in μB per formula unit: 0.00
Symmetry: No. 122

abc: 7.4110 7.4110 5.9410
angles: 51.41 51.41 90.00
Positions (direct):
Be: 0.5000 0.5000 0.0000
Be: 0.2500 0.7500 0.5000
Os: 0.0000 0.0000 0.0000
Os: 0.7500 0.2500 0.5000
Sn: 0.6233 0.1250 0.2500
Sn: 0.1267 0.6250 0.2500
Sn: 0.3750 0.3767 0.7500
Sn: 0.8750 0.8733 0.7500

# 15
The following is a DFT calculation (PBE) of an optimized crystal structure of Be2Sn2Os.

Properties
Fermi-level density of states in states/eV/cell: 8.27
Energy of formation in eV per atom: 0.449
M_tot in μB per formula unit: 0.11
Symmetry: No. 127
Polymorph energy (0 for the lowest one) in meV/atom: 0.0

abc: 6.3721 6.3721 3.7728
angles: 90.00 90.00 90.00
Each line ends with the local moment (μB).
Positions (direct):
Be: 0.3669 0.8669 0.0000  0.00
Be: 0.8669 0.6331 0.0000  0.00
Be: 0.6331 0.1331 0.0000  0.00
Be: 0.1331 0.3669 0.0000  0.00
Os: 0.0000 0.0000 0.0000  0.09
Os: 0.5000 0.5000 0.0000  0.09
Sn: 0.1756 0.6756 0.5000  0.00
Sn: 0.6756 0.8244 0.5000  0.00
Sn: 0.8244 0.3244 0.5000  0.00
Sn: 0.3244 0.1756 0.5000  0.00

# 16
The following is a DFT calculation (PBE) of an optimized crystal structure of Be2Sn2Os.

Properties
Fermi-level density of states in states/eV/cell: 3.41
Energy of formation in eV per atom: 1.177
M_tot in μB per formula unit: 0.78
Symmetry: No. 139
Polymorph energy (0 for the lowest one) in meV/atom: 728.1

abc: 3.9207 3.9207 6.2411
angles: 71.69 71.69 90.00
Each line ends with the local moment (μB).
Positions (direct):
Be: 0.4121 0.4121 0.1759  -0.01
Be: 0.5879 0.5879 0.8241  -0.01
Os: 0.0000 0.0000 0.0000  0.76
Sn: 0.7500 0.2500 0.5000  0.00
Sn: 0.2500 0.7500 0.5000  0.00

# 17
The following is a DFT calculation (PBE) of an optimized crystal structure of BeSnOs3.

Properties
Fermi-level density of states in states/eV/cell: 5.63
Energy of formation in eV per atom: 2.946
M_tot in μB per formula unit: 2.59
Symmetry: No. 221
Polymorph energy (0 for the lowest one) in meV/atom: 2242.0

abc: 4.8201 4.8201 4.8201
angles: 90.00 90.00 90.00
Each line ends with the local moment (μB).
Positions (direct):
Be: 0.5000 0.5000 0.5000  -0.05
Os: 0.0000 0.5000 0.0000  0.88
Os: 0.0000 0.0000 0.5000  0.97
Os: 0.5000 0.0000 0.0000  0.71
Sn: 0.0000 0.0000 0.0000  -0.05

# 18
The following is a DFT calculation (PBE) of an optimized crystal structure of BeSnOs3.

Properties
Fermi-level density of states in states/eV/cell: 4.68
Energy of formation in eV per atom: 0.704
M_tot in μB per formula unit: 1.29
Symmetry: No. 221
Polymorph energy (0 for the lowest one) in meV/atom: 0.0

abc: 4.2012 4.2012 4.2012
angles: 90.00 90.00 90.00
Each line ends with the local moment (μB).
Positions (direct):
Be: 0.0000 0.0000 0.0000  -0.01
Os: 0.0000 0.5000 0.0000  0.40
Os: 0.0000 0.0000 0.5000  0.46
Os: 0.5000 0.0000 0.0000  0.34
Sn: 0.5000 0.5000 0.5000  0.00

# 19
The following is a DFT calculation (PBE) of an optimized crystal structure of Be4SnOs.

Properties
Fermi-level density of states in states/eV/cell: 0.72
Energy of formation in eV per atom: -0.081
M_tot in μB per formula unit: 0.00
Symmetry: No. 216

abc: 4.5033 4.5033 4.5033
angles: 60.00 60.00 60.00
Positions (direct):
Be: 0.6263 0.6263 0.1212
Be: 0.6263 0.1212 0.6263
Be: 0.6263 0.6263 0.6263
Be: 0.1212 0.6263 0.6263
Os: 0.0000 0.0000 0.0000
Sn: 0.2500 0.2500 0.2500

# 20
The following is a DFT calculation (PBE) of an optimized crystal structure of BeSn3Os.

Properties
Fermi-level density of states in states/eV/cell: 4.64
Energy of formation in eV per atom: 0.784
M_tot in μB per formula unit: 0.00
Symmetry: No. 221

abc: 5.1434 5.1434 5.1434
angles: 90.00 90.00 90.00
Positions (direct):
Be: 0.5000 0.5000 0.5000
Os: 0.0000 0.0000 0.0000
Sn: 0.0000 0.5000 0.0000
Sn: 0.0000 0.0000 0.5000
Sn: 0.5000 0.0000 0.0000